1.
DFT (PBEsol) results for crystalline HoTc2 at its relaxed geometry.

Results
calculated volume = 17.60 Å³ per atom
size of the total moment = 0.00 μB/f.u.
raw total energy = -112.0 eV per cell
formation energy = -0.174 eV/atom

abc: 5.284 5.284 8.732
angles: 90.00 90.00 120.00
Positions (direct):
Tc1 0.000 0.000 0.500
Tc2 0.000 0.000 0.000
Ho1 0.333 0.667 0.437
Tc3 0.171 0.342 0.750
Ho2 0.333 0.667 0.063
Ho3 0.667 0.333 0.937
Tc4 0.829 0.658 0.250
Tc5 0.342 0.171 0.250
Tc6 0.829 0.171 0.250
Tc7 0.171 0.829 0.750
Ho4 0.667 0.333 0.563
Tc8 0.658 0.829 0.750

---

2.
DFT (PBEsol) results for crystalline Sr2Pd2I at its relaxed geometry.

Results
calculated volume = 28.04 Å³ per atom
size of the total moment = 0.00 μB/f.u.
raw total energy = -20.2 eV per cell
energy relative to the elements, uncorrected = -564 meV per atom

abc: 5.807 5.844 5.807
angles: 60.20 90.00 119.80
Positions (direct):
Sr1 0.250 0.500 0.250
I1 0.000 0.000 0.000
Pd1 0.653 0.306 0.347
Pd2 0.347 0.694 0.653
Sr2 0.750 0.500 0.750

---

3.
DFT (PBEsol) results for crystalline Mg5Co at its relaxed geometry.

Results
calculated volume = 19.00 Å³ per atom
size of the total moment = 0.00 μB/f.u.
raw total energy = -15.8 eV per cell
formation energy = 0.081 eV/atom

abc: 3.139 5.525 7.346
angles: 110.18 90.00 106.50
Positions (direct):
Mg1 0.310 0.619 0.657
Mg2 0.610 0.221 0.809
Co1 0.972 0.945 0.944
Mg3 0.334 0.668 0.080
Mg4 0.972 0.944 0.444
Mg5 0.635 0.270 0.232

---

4.
DFT (PBEsol) results for crystalline SbAsRhSe2 at its relaxed geometry.

Results
calculated volume = 22.30 Å³ per atom
size of the total moment = 0.00 μB/f.u.
raw total energy = -24.1 eV per cell
energy relative to the elements, uncorrected = 285 meV per atom

abc: 4.549 4.950 4.950
angles: 90.00 90.00 90.00
Positions (direct):
Sb1 0.500 0.500 0.500
Rh1 0.000 0.000 0.000
As1 0.500 0.000 0.000
Se1 0.000 0.000 0.500
Se2 0.000 0.500 0.000

---

5.
DFT (PBEsol) results for crystalline Cr2MoRu at its relaxed geometry.

Results
calculated volume = 13.06 Å³ per atom
size of the total moment = 0.00 μB/f.u.
raw total energy = -41.1 eV per cell
formation energy = 0.337 eV/atom

abc: 2.635 2.635 8.821
angles: 81.41 81.41 60.00
Positions (direct):
Mo1 0.500 0.500 0.500
Ru1 0.000 0.000 0.000
Cr1 0.254 0.254 0.238
Cr2 0.746 0.746 0.762

---

6.
DFT (PBEsol) results for crystalline TlRhNF2 at its relaxed geometry.

Results
calculated volume = 14.41 Å³ per atom
size of the total moment = 0.00 μB/f.u.
raw total energy = -26.7 eV per cell
energy relative to the elements, uncorrected = -700 meV per atom

abc: 3.626 4.458 4.458
angles: 90.00 90.00 90.00
Positions (direct):
Rh1 0.000 0.000 0.000
F1 0.000 0.500 0.000
F2 0.000 0.000 0.500
N1 0.500 0.000 0.000
Tl1 0.500 0.500 0.500

---

7.
DFT (PBEsol) results for crystalline Li2GaIr at its relaxed geometry.

Results
calculated volume = 12.98 Å³ per atom
size of the total moment = 0.00 μB/f.u.
raw total energy = -18.7 eV per cell
formation energy = -0.400 eV/atom

abc: 4.187 4.187 4.187
angles: 60.00 60.00 60.00
Positions (direct):
Ga1 0.250 0.250 0.250
Li1 0.750 0.750 0.750
Li2 0.500 0.500 0.500
Ir1 0.000 0.000 0.000

---

8.
DFT (PBEsol) results for crystalline CdCu at its relaxed geometry.

Results
calculated volume = 15.41 Å³ per atom
size of the total moment = 0.00 μB/f.u.
raw total energy = -10.9 eV per cell
formation energy = 0.052 eV/atom

abc: 3.053 4.459 5.273
angles: 115.02 106.83 90.00
Positions (direct):
Cu1 0.644 0.894 0.287
Cd1 0.889 0.639 0.779
Cd2 0.111 0.361 0.221
Cu2 0.356 0.106 0.713

---

9.
DFT (PBEsol) results for crystalline SrSb2As at its relaxed geometry.

Results
calculated volume = 26.05 Å³ per atom
size of the total moment = 0.00 μB/f.u.
raw total energy = -17.9 eV per cell
energy relative to the elements, uncorrected = -467 meV per atom

abc: 3.854 5.185 6.135
angles: 115.00 108.31 90.00
Positions (direct):
Sr1 0.000 0.500 0.000
Sb1 0.784 0.784 0.567
As1 0.500 0.000 0.000
Sb2 0.216 0.216 0.433

---

10.
DFT (PBEsol) results for crystalline TbNiGe at its relaxed geometry.

Results
calculated volume = 17.39 Å³ per atom
size of the total moment = 0.00 μB/f.u.
raw total energy = -36.7 eV per cell
formation energy = -0.753 eV/atom

abc: 4.086 5.418 5.506
angles: 77.11 68.22 67.84
Positions (direct):
Ni1 0.168 0.885 0.778
Ni2 0.832 0.115 0.222
Tb1 0.447 0.292 0.813
Tb2 0.553 0.708 0.187
Ge1 0.830 0.741 0.600
Ge2 0.170 0.259 0.400

---

11.
DFT (PBEsol) results for crystalline Na15SnGe8P at its relaxed geometry.

Results
calculated volume = 24.43 Å³ per atom
size of the total moment = 0.00 μB/f.u.
raw total energy = -150.6 eV per cell
formation energy = -0.190 eV/atom

abc: 10.748 10.748 11.102
angles: 90.00 90.00 107.76
Positions (direct):
Na1 0.717 0.456 0.384
Na2 0.942 0.320 0.502
P1 0.345 0.345 0.750
Na3 0.456 0.717 0.384
Na4 0.429 0.429 0.250
Na5 0.769 0.937 0.250
Ge1 0.014 0.504 0.750
Na6 0.680 0.058 0.002
Na7 0.544 0.283 0.884
Na8 0.251 0.251 0.503
Ge2 0.484 0.189 0.364
Na9 0.231 0.063 0.750
Na10 0.283 0.544 0.616
Ge3 0.811 0.516 0.636
Ge4 0.516 0.811 0.864
Na11 0.320 0.942 0.998
Ge5 0.196 0.700 0.250
Ge6 0.484 0.189 0.136
Na12 0.987 0.802 0.750
Na13 0.680 0.058 0.498
Ge7 0.189 0.484 0.364
Na14 0.571 0.571 0.750
Na15 0.937 0.769 0.250
Ge8 0.811 0.516 0.864
Ge9 0.986 0.496 0.250
Na16 0.942 0.320 0.998
Ge10 0.700 0.196 0.250
Na17 0.802 0.987 0.750
Sn1 0.000 0.000 0.000
Na18 0.717 0.456 0.116
Ge11 0.496 0.986 0.250
Na19 0.283 0.544 0.884
Na20 0.063 0.231 0.750
P2 0.655 0.655 0.250
Na21 0.198 0.013 0.250
Ge12 0.504 0.014 0.750
Na22 0.749 0.749 0.497
Na23 0.749 0.749 0.003
Sn2 0.000 0.000 0.500
Ge13 0.804 0.300 0.750
Na24 0.013 0.198 0.250
Na25 0.058 0.680 0.002
Na26 0.320 0.942 0.502
Na27 0.544 0.283 0.616
Ge14 0.300 0.804 0.750
Na28 0.251 0.251 0.997
Ge15 0.516 0.811 0.636
Ge16 0.189 0.484 0.136
Na29 0.456 0.717 0.116
Na30 0.058 0.680 0.498

---

12.
DFT (PBEsol) results for crystalline ZnAs2IrRh at its relaxed geometry.

Results
calculated volume = 21.22 Å³ per atom
size of the total moment = 0.97 μB/f.u.
raw total energy = -25.2 eV per cell
formation energy = 0.913 eV/atom

abc: 4.594 4.594 5.026
angles: 90.00 90.00 90.00
Positions (direct):
Zn1 0.500 0.500 0.500
Rh1 0.000 0.000 0.500
As1 0.500 0.000 0.000
Ir1 0.000 0.000 0.000
As2 0.000 0.500 0.000